*A*
Entry from the Alexandria database: a PBEsol-optimized structure of PtAu5 (SCAN).

Cell lengths 5.5291, 5.5291, 6.8401 Å; angles 106.54, 106.54, 29.90 degrees
Fractional coordinates of all 6 atoms:
Pt (0.0000, 0.0000, 0.0000)
Au (0.2809, 0.2809, 0.0571)
Au (0.3328, 0.3328, 0.6684)
Au (0.6100, 0.6100, 0.7284)
Au (0.6650, 0.6650, 0.3303)
Au (0.9452, 0.9452, 0.3900)

Computed properties:
**Magnetization**: 0.0 μB/f.u.
**SG**: No. 8

*B*
Entry from the Alexandria database: a PBEsol-optimized structure of PtAu5 (SCAN).

Cell lengths 5.3190, 5.3190, 5.3190 Å; angles 60.00, 60.00, 60.00 degrees
Fractional coordinates of all 6 atoms:
Pt (0.0000, 0.0000, 0.0000)
Au (0.3750, 0.3750, 0.3750)
Au (0.3750, 0.3750, 0.8751)
Au (0.3750, 0.8751, 0.3750)
Au (0.7500, 0.7500, 0.7500)
Au (0.8751, 0.3750, 0.3750)

Computed properties:
**Magnetization**: 0.0 μB/f.u.
**SG**: No. 216

The most stable arrangement is *A*, and the next structure is 315 meV per atom less stable.

*A*
Entry from the Alexandria database: a PBEsol-optimized structure of RePt2Au (SCAN).

Cell lengths 4.4441, 4.4441, 4.4441 Å; angles 60.00, 60.00, 60.00 degrees
Fractional coordinates of all 4 atoms:
Re (0.0000, 0.0000, 0.0000)
Pt (0.2500, 0.2500, 0.2500)
Pt (0.7500, 0.7500, 0.7500)
Au (0.5000, 0.5000, 0.5000)

Computed properties:
**Magnetization**: 1.7 μB/f.u.
**SG**: No. 225

*B*
Entry from the Alexandria database: a PBEsol-optimized structure of RePt2Au (SCAN).

Cell lengths 9.2805, 9.2805, 9.2805 Å; angles 17.22, 17.22, 17.22 degrees
Fractional coordinates of all 4 atoms:
Re (0.0000, 0.0000, 0.0000)
Pt (0.2542, 0.2542, 0.2542)
Pt (0.7458, 0.7458, 0.7458)
Au (0.5000, 0.5000, 0.5000)

Computed properties:
**Magnetization**: 0.0 μB/f.u.
**SG**: No. 166

The most stable arrangement is *B*, and the next structure is 363 meV per atom less stable.

*A*
Entry from the Alexandria database: a PBEsol-optimized structure of RuPt2Au (SCAN).

Cell lengths 4.4200, 4.4200, 4.4200 Å; angles 60.00, 60.00, 60.00 degrees
Fractional coordinates of all 4 atoms:
Ru (0.0000, 0.0000, 0.0000)
Pt (0.2500, 0.2500, 0.2500)
Pt (0.5000, 0.5000, 0.5000)
Au (0.7500, 0.7500, 0.7500)

Computed properties:
**Magnetization**: 1.7 μB/f.u.
**SG**: No. 216

*B*
Entry from the Alexandria database: a PBEsol-optimized structure of RuPt2Au (SCAN).

Cell lengths 2.7538, 2.7538, 7.9282 Å; angles 90.00, 90.00, 90.00 degrees
Fractional coordinates of all 4 atoms:
Ru (0.0000, 0.0000, 0.0000)
Pt (0.5000, 0.5000, 0.2306)
Pt (0.5000, 0.5000, 0.7694)
Au (0.0000, 0.0000, 0.5000)

Computed properties:
**Magnetization**: 0.1 μB/f.u.
**SG**: No. 123

*C*
Entry from the Alexandria database: a PBEsol-optimized structure of RuPt2Au (SCAN).

Cell lengths 9.2500, 9.2500, 9.2500 Å; angles 17.15, 17.15, 17.15 degrees
Fractional coordinates of all 4 atoms:
Ru (0.0000, 0.0000, 0.0000)
Pt (0.2546, 0.2546, 0.2546)
Pt (0.7454, 0.7454, 0.7454)
Au (0.5000, 0.5000, 0.5000)

Computed properties:
**Magnetization**: 0.1 μB/f.u.
**SG**: No. 166

*D*
Entry from the Alexandria database: a PBEsol-optimized structure of RuPt2Au (SCAN).

Cell lengths 4.8013, 4.8013, 4.8013 Å; angles 132.04, 132.04, 70.16 degrees
Fractional coordinates of all 4 atoms:
Ru (0.0000, 0.0000, 0.0000)
Pt (0.2500, 0.7500, 0.5000)
Pt (0.7500, 0.2500, 0.5000)
Au (0.5000, 0.5000, 0.0000)

Computed properties:
**Magnetization**: 0.0 μB/f.u.
**SG**: No. 139

The most stable arrangement is *B*, and the next structure is 38 meV per atom less stable.

*A*
Entry from the Alexandria database: a PBEsol-optimized structure of ScPtAu (SCAN).

Cell lengths 4.5192, 4.5192, 2.8789 Å; angles 90.00, 90.00, 120.00 degrees
Fractional coordinates of all 3 atoms:
Sc (0.0000, 0.0000, 0.0000)
Pt (0.6667, 0.3333, 0.6956)
Au (0.3333, 0.6667, 0.3730)

Computed properties:
**Magnetization**: 0.0 μB/f.u.
**SG**: No. 156

*B*
Entry from the Alexandria database: a PBEsol-optimized structure of ScPtAu (SCAN).

Cell lengths 4.9871, 4.9871, 4.9871 Å; angles 139.62, 139.62, 58.43 degrees
Fractional coordinates of all 3 atoms:
Sc (0.0000, 0.0000, 0.0000)
Pt (0.6519, 0.6519, 0.0000)
Au (0.3286, 0.3286, 0.0000)

Computed properties:
**Magnetization**: 0.0 μB/f.u.
**SG**: No. 107

The most stable arrangement is *B*, and the next structure is 235 meV per atom less stable.

*A*
Entry from the Alexandria database: a PBEsol-optimized structure of TaPtAu2 (SCAN).

Cell lengths 2.8691, 2.8691, 7.9909 Å; angles 90.00, 90.00, 90.00 degrees
Fractional coordinates of all 4 atoms:
Ta (0.0000, 0.0000, 0.0000)
Pt (0.5000, 0.5000, 0.7698)
Au (0.0000, 0.0000, 0.5116)
Au (0.5000, 0.5000, 0.2506)

Computed properties:
**Magnetization**: 0.0 μB/f.u.
**SG**: No. 99

*B*
Entry from the Alexandria database: a PBEsol-optimized structure of TaPtAu2 (SCAN).

Cell lengths 3.4995, 3.4995, 5.4313 Å; angles 90.00, 90.00, 90.00 degrees
Fractional coordinates of all 4 atoms:
Ta (0.0000, 0.0000, 0.0000)
Pt (0.0000, 0.0000, 0.5000)
Au (0.5000, 0.5000, 0.2504)
Au (0.5000, 0.5000, 0.7496)

Computed properties:
**Magnetization**: 0.5 μB/f.u.
**SG**: No. 123

The most stable arrangement is *A*, and the next structure is 219 meV per atom less stable.

*A*
Entry from the Alexandria database: a PBEsol-optimized structure of TcPt2Au (SCAN).

Cell lengths 4.7674, 4.7674, 2.7242 Å; angles 90.00, 90.00, 90.00 degrees
Fractional coordinates of all 4 atoms:
Tc (0.0000, 0.0000, 0.0000)
Pt (0.0000, 0.5000, 0.5000)
Pt (0.5000, 0.0000, 0.5000)
Au (0.5000, 0.5000, 0.0000)

Computed properties:
**Magnetization**: 1.2 μB/f.u.
**SG**: No. 123

*B*
Entry from the Alexandria database: a PBEsol-optimized structure of TcPt2Au (SCAN).

Cell lengths 4.4235, 4.4235, 4.4235 Å; angles 60.00, 60.00, 60.00 degrees
Fractional coordinates of all 4 atoms:
Tc (0.0000, 0.0000, 0.0000)
Pt (0.2500, 0.2500, 0.2500)
Pt (0.5000, 0.5000, 0.5000)
Au (0.7500, 0.7500, 0.7500)

Computed properties:
**Magnetization**: 0.0 μB/f.u.
**SG**: No. 216

The most stable arrangement is *A*, and the next structure is 85 meV per atom less stable.